1.
VASP calculation (PBE-GGA) on a relaxed structure of Na2Zn3CdAu12.

Properties
space-group type = No. 166
energy = -48.1 eV/cell
volume = 350.1 Å³ per cell
ΔE_f = -79 meV per atom

a b c (Å): 7.0872 7.0872 7.0872
angles (deg): 83.76 83.76 83.76
Fractional positions:
Au 0.1975 0.6956 0.1975
Au 0.3044 0.8025 0.8025
Au 0.6215 0.6215 0.0582
Zn 0.0000 0.0000 0.5000
Au 0.9418 0.3785 0.3785
Au 0.3785 0.9418 0.3785
Au 0.1975 0.1975 0.6956
Na 0.3835 0.3835 0.3835
Au 0.0582 0.6215 0.6215
Na 0.6165 0.6165 0.6165
Cd 0.0000 0.0000 0.0000
Zn 0.0000 0.5000 0.0000
Au 0.3785 0.3785 0.9418
Zn 0.5000 0.0000 0.0000
Au 0.6956 0.1975 0.1975
Au 0.6215 0.0582 0.6215
Au 0.8025 0.8025 0.3044
Au 0.8025 0.3044 0.8025

---

2.
VASP calculation (PBE-GGA) on a relaxed structure of NaZn2CdAu.

Properties
space-group type = No. 123
energy = -8.1 eV/cell
volume = 131.1 Å³ per cell
ΔE_f = -1 meV per atom

a b c (Å): 4.9704 4.9704 5.3084
angles (deg): 90.00 90.00 90.00
Fractional positions:
Cd 0.0000 0.0000 0.5000
Au 0.0000 0.0000 0.0000
Zn 0.0000 0.5000 0.0000
Zn 0.5000 0.0000 0.0000
Na 0.5000 0.5000 0.5000

---

3.
VASP calculation (PBE-GGA) on a relaxed structure of NaZn2CdAu4.

Properties
space-group type = No. 166
energy = -19.3 eV/cell
volume = 143.5 Å³ per cell
ΔE_f = -172 meV per atom

a b c (Å): 4.6952 4.6952 7.9883
angles (deg): 72.91 72.91 60.00
Fractional positions:
Au 0.3753 0.3753 0.8740
Na 0.0000 0.0000 0.0000
Au 0.1276 0.1276 0.6171
Cd 0.5000 0.5000 0.5000
Zn 0.7456 0.7456 0.7633
Au 0.8724 0.8724 0.3829
Au 0.6247 0.6247 0.1260
Zn 0.2544 0.2544 0.2367

---

4.
VASP calculation (PBE-GGA) on a relaxed structure of Na2Zn4CdAu3.

Properties
space-group type = No. 115
energy = -20.4 eV/cell
volume = 212.1 Å³ per cell
ΔE_f = -193 meV per atom

a b c (Å): 4.3670 4.3670 11.1218
angles (deg): 90.00 90.00 90.00
Fractional positions:
Zn 0.5000 0.0000 0.6429
Na 0.5000 0.0000 0.2394
Zn 0.5000 0.5000 0.0000
Na 0.0000 0.5000 0.7606
Au 0.0000 0.0000 0.5000
Au 0.5000 0.0000 0.8691
Cd 0.5000 0.5000 0.5000
Au 0.0000 0.5000 0.1309
Zn 0.0000 0.5000 0.3571
Zn 0.0000 0.0000 0.0000

---

5.
VASP calculation (PBE-GGA) on a relaxed structure of Na2Zn2CdAu5.

Properties
space-group type = No. 127
energy = -50.0 eV/cell
volume = 393.5 Å³ per cell
ΔE_f = -253 meV per atom

a b c (Å): 3.8107 10.1614 10.1614
angles (deg): 90.00 90.00 90.00
Fractional positions:
Na 0.0000 0.8250 0.6750
Na 0.0000 0.6750 0.1750
Au 0.5000 0.2041 0.0637
Na 0.0000 0.1750 0.3250
Au 0.5000 0.5637 0.7041
Au 0.5000 0.7041 0.4363
Au 0.5000 0.9363 0.2041
Au 0.5000 0.0000 0.5000
Zn 0.0000 0.8758 0.3758
Zn 0.0000 0.3758 0.1242
Cd 0.0000 0.0000 0.0000
Zn 0.0000 0.6242 0.8758
Cd 0.0000 0.5000 0.5000
Au 0.5000 0.5000 0.0000
Zn 0.0000 0.1242 0.6242
Au 0.5000 0.7959 0.9363
Au 0.5000 0.2959 0.5637
Na 0.0000 0.3250 0.8250
Au 0.5000 0.4363 0.2959
Au 0.5000 0.0637 0.7959

---

6.
VASP calculation (PBE-GGA) on a relaxed structure of NbCd3Au.

Properties
space-group type = No. 221
energy = -10.2 eV/cell
volume = 170.7 Å³ per cell
ΔE_f = 1174 meV per atom
energy above the lowest structure with this stoichiometry = 326 meV per atom

a b c (Å): 5.5467 5.5467 5.5467
angles (deg): 90.00 90.00 90.00
Fractional positions:
Cd 0.0000 0.0000 0.5000
Cd 0.5000 0.0000 0.0000
Cd 0.0000 0.5000 0.0000
Nb 0.0000 0.0000 0.0000
Au 0.5000 0.5000 0.5000

---

7.
VASP calculation (PBE-GGA) on a relaxed structure of Nb2CdAu2.

Properties
space-group type = No. 139
energy = -26.7 eV/cell
volume = 101.6 Å³ per cell
ΔE_f = 183 meV per atom

a b c (Å): 3.8108 3.8108 7.4995
angles (deg): 75.28 75.28 90.00
Fractional positions:
Au 0.5972 0.5972 0.8055
Nb 0.7500 0.2500 0.5000
Au 0.4028 0.4028 0.1945
Cd 0.0000 0.0000 0.0000
Nb 0.2500 0.7500 0.5000

---

8.
VASP calculation (PBE-GGA) on a relaxed structure of NbCdAu2.

Properties
space-group type = No. 123
energy = -18.1 eV/cell
volume = 74.4 Å³ per cell
ΔE_f = -150 meV per atom

a b c (Å): 3.0252 3.0252 8.1322
angles (deg): 90.00 90.00 90.00
Fractional positions:
Nb 0.5000 0.5000 0.5000
Au 0.0000 0.0000 0.7390
Au 0.0000 0.0000 0.2610
Cd 0.5000 0.5000 0.0000